1.
! NiAuN2F (PBE with a Hubbard U, optimized geometry); values from VASP
&SYSTEM
  ibrav = 0, nat = 5, ntyp = 4
/
ATOMIC_SPECIES
N 14.01 N.upf
Au 196.97 Au.upf
F 19.00 F.upf
Ni 58.69 Ni.upf
ATOMIC_POSITIONS crystal
N 0.000 0.500 0.000
N 0.500 0.000 0.000
Au 0.000 0.000 0.000
F 0.000 0.000 0.500
Ni 0.500 0.500 0.500
CELL_PARAMETERS angstrom
3.903 0.000 0.000
0.000 3.903 0.000
0.000 0.000 5.332
! ρ   6.2 g cm⁻³
! M_tot   4.15 μB per cell
! Raw total energy   -17.1 eV/cell

2.
! NiAuN2F (PBE with a Hubbard U, optimized geometry); values from VASP
&SYSTEM
  ibrav = 0, nat = 5, ntyp = 4
/
ATOMIC_SPECIES
N 14.01 N.upf
F 19.00 F.upf
Ni 58.69 Ni.upf
Au 196.97 Au.upf
ATOMIC_POSITIONS crystal
N 0.000 0.500 0.000
N 0.500 0.000 0.000
F 0.000 0.000 0.500
Ni 0.000 0.000 0.000
Au 0.500 0.500 0.500
CELL_PARAMETERS angstrom
-2.242 3.085 0.694
0.313 -0.630 3.812
3.083 2.215 0.113
! ρ   8.8 g cm⁻³
! M_tot   0.04 μB per cell
! Raw total energy   -18.9 eV/cell